InBiOs2O: relaxed, GGA-PBEsol.

Cell lengths 4.980, 4.980, 5.969 Å; angles 90.00, 90.00, 90.00 degrees
Each line ends with the local moment (μB).
Positions (direct):
In 0.000 0.000 0.500  -0.03
O 0.500 0.500 0.500  1.09
Os 0.000 0.500 0.000  1.38
Os 0.500 0.000 0.000  1.38
Bi 0.000 0.000 0.000  -0.06

Calculated values
The formation energy without anion corrections is 2.816 eV/atom. For the spin magnetization, the calculation gives 4.2 μB/f.u.